(1)
The following is a GGA-PBE calculation of a relaxed CaY3Ru crystal, from Alexandria.

## Properties
ΔH_f (0 K): -0.09 eV per atom
Size of the total moment: 0.00 μB per cell
E: -124.56 eV/cell

Lattice parameters (Å, degrees): 22.502 3.884 7.240 90.00 103.30 90.00
Space group C2/m (No. 12)
One atom of each set of equivalent atoms:
Ca  0.179  0.000  0.080 (multiplicity 4)
Y  0.051  0.000  0.243 (multiplicity 4)
Y  0.077  0.500  0.671 (multiplicity 4)
Y  0.201  0.000  0.601 (multiplicity 4)
Ru  0.140  0.500  0.370 (multiplicity 4)


(2)
The following is a GGA-PBE calculation of a relaxed CaY3Ru crystal, from Alexandria.

## Properties
ΔH_f (0 K): -0.03 eV per atom
Size of the total moment: 0.00 μB per cell
E: -123.20 eV/cell

Lattice parameters (Å, degrees): 13.240 5.180 8.660 90.00 96.34 90.00
Space group C2/m (No. 12)
One atom of each set of equivalent atoms:
Ca  0.075  0.000  0.148 (multiplicity 4)
Y  0.110  0.500  0.388 (multiplicity 4)
Y  0.146  0.000  0.649 (multiplicity 4)
Y  0.166  0.500  0.919 (multiplicity 4)
Ru  0.241  0.000  0.369 (multiplicity 4)


(3)
The following is a GGA-PBE calculation of a relaxed CaY3Ru crystal, from Alexandria.

## Properties
ΔH_f (0 K): -0.19 eV per atom
Size of the total moment: 0.00 μB per cell
E: -63.21 eV/cell

Lattice parameters (Å, degrees): 8.931 3.771 9.119 90.00 104.06 90.00
Space group P2_1/m (No. 11)
One atom of each set of equivalent atoms:
Ca  0.022  0.250  0.184 (multiplicity 2)
Y  0.196  0.250  0.581 (multiplicity 2)
Y  0.338  0.250  0.975 (multiplicity 2)
Y  0.400  0.750  0.334 (multiplicity 2)
Ru  0.403  0.750  0.757 (multiplicity 2)